Record 1
This record from Alexandria describes an optimized crystal structure of CuPOs. The functional is GGA-PBEsol.

Polymorph energy (0 for the lowest one) in eV/atom: 0.000
Energy relative to the elements in eV per atom: 0.216

a b c (Å): 3.947 3.947 3.947
angles (deg): 60.00 60.00 60.00
Fractional positions:
1 Os 0.250 0.250 0.250
2 Cu 0.500 0.500 0.500
3 P 0.000 0.000 0.000

***

Record 2
This record from Alexandria describes an optimized crystal structure of CuSiPOs2. The functional is GGA-PBEsol.

Formation energy (no corrections) in eV/atom: 1.23

a b c (Å): 4.316 4.316 4.381
angles (deg): 90.00 90.00 90.00
Fractional positions:
1 Os 0.000 0.500 0.000
2 Si 0.000 0.000 0.500
3 Os 0.500 0.000 0.000
4 Cu 0.500 0.500 0.500
5 P 0.000 0.000 0.000

***

Record 3
This record from Alexandria describes an optimized crystal structure of CuOs2Pb. The functional is GGA-PBEsol.

Energy relative to the elements in eV per atom: 0.932

a b c (Å): 2.890 4.640 4.693
angles (deg): 90.00 90.00 90.00
Fractional positions:
1 Os 0.500 0.000 0.500
2 Cu 0.000 0.500 0.500
3 Pb 0.500 0.500 0.000
4 Os 0.000 0.000 0.000

***

Record 4
This record from Alexandria describes an optimized crystal structure of CuOs2Pb. The functional is GGA-PBEsol.

Energy relative to the elements in eV per atom: 0.952

a b c (Å): 3.104 3.103 6.451
angles (deg): 90.00 90.00 90.00
Fractional positions:
1 Os 0.000 0.000 0.705
2 Pb 0.500 0.500 0.000
3 Cu 0.500 0.500 0.500
4 Os 0.000 0.000 0.295

***

Record 5
This record from Alexandria describes an optimized crystal structure of CuOs2Pb. The functional is GGA-PBEsol.

Energy relative to the elements in eV per atom: 0.836

a b c (Å): 2.850 4.446 5.662
angles (deg): 113.12 104.57 90.00
Fractional positions:
1 Cu 0.000 0.500 0.000
2 Os 0.283 0.283 0.567
3 Os 0.717 0.717 0.433
4 Pb 0.500 0.000 0.000

***

Record 6
This record from Alexandria describes an optimized crystal structure of CuOs2Pb. The functional is GGA-PBEsol.

Energy relative to the elements in eV per atom: 0.982

a b c (Å): 3.911 3.911 4.915
angles (deg): 113.44 113.44 90.00
Fractional positions:
1 Os 0.250 0.750 0.500
2 Pb 0.500 0.500 0.000
3 Os 0.750 0.250 0.500
4 Cu 0.000 0.000 0.000

***

Record 7
This record from Alexandria describes an optimized crystal structure of CuOsPb2. The functional is GGA-PBEsol.

Polymorph energy (0 for the lowest one) in eV/atom: 0.000
Energy relative to the elements in eV per atom: 0.837

a b c (Å): 3.352 4.640 5.435
angles (deg): 100.54 90.00 111.17
Fractional positions:
1 Pb 0.755 0.510 0.754
2 Cu 0.000 0.000 0.500
3 Os 0.500 0.000 0.000
4 Pb 0.245 0.490 0.246

***

Record 8
This record from Alexandria describes an optimized crystal structure of CuOsPb2. The functional is GGA-PBEsol.

Polymorph energy (0 for the lowest one) in eV/atom: 0.082
Energy relative to the elements in eV per atom: 0.919

a b c (Å): 3.409 4.286 5.361
angles (deg): 90.00 90.00 90.00
Fractional positions:
1 Os 0.000 0.500 0.500
2 Cu 0.500 0.500 0.000
3 Pb 0.000 0.000 0.000
4 Pb 0.500 0.000 0.500

***

For reference, DOS at the Fermi energy by record: 1.15; 4.31; 4.26; 5.31; 4.13; 5.29; 2.82; 2.34 states/eV/f.u..